The following is a PBE calculation of a geometry-optimized YSiTe3 structure, from Alexandria.

Unit cell a=5.273 b=5.273 c=5.273 alpha=90.00 beta=90.00 gamma=90.00
Atoms (fractional coordinates):
Y1 0.000 0.000 0.000
Si1 0.500 0.500 0.500
Te1 0.000 0.500 0.500
Te2 0.500 0.000 0.500
Te3 0.500 0.500 0.000

## Properties
- ΔE_f (raw) (kJ/mol of formula units) = -78
- density (g cm⁻³) = 5.66
- spin magnetization (μB per atom) = 0.000
- E_tot (eV/cell) = -22.12
- energy above the lowest structure with this stoichiometry (meV per atom) = 0.0